This record from the Open Quantum Materials Database describes crystalline Hf2Cd3W4C3 at its relaxed geometry. The functional is PBE-GGA.

M_tot: 0.00 Bohr magnetons per cell
total DFT energy (no corrections): -207.277 eV for the cell shown

Unit cell a=5.465 b=5.465 c=14.652 alpha=90.08 beta=100.72 gamma=119.83
Positions (direct):
C 0.335 0.171 0.000
C 0.000 0.500 0.000
C 0.665 0.829 0.000
C 0.671 0.335 0.500
C 0.000 0.000 0.500
C 0.329 0.665 0.500
Cd 0.831 0.187 0.249
Cd 0.225 0.975 0.250
Cd 0.438 0.582 0.251
Cd 0.562 0.418 0.749
Cd 0.775 0.025 0.750
Cd 0.169 0.813 0.751
Hf 0.727 0.532 0.096
Hf 0.937 0.632 0.404
Hf 0.063 0.368 0.596
Hf 0.273 0.468 0.904
W 0.055 0.196 0.075
W 0.383 0.853 0.075
W 0.278 0.309 0.425
W 0.622 0.980 0.425
W 0.378 0.020 0.575
W 0.722 0.691 0.575
W 0.617 0.147 0.925
W 0.945 0.804 0.925

This record from the Open Quantum Materials Database describes crystalline Y2Hf4Cd3C3 at its relaxed geometry. The functional is PBE-GGA.

M_tot: 0.00 Bohr magnetons per cell
total DFT energy (no corrections): -179.055 eV for the cell shown

Unit cell a=5.866 b=5.866 c=15.563 alpha=101.17 beta=101.17 gamma=60.05
Positions (direct):
C 0.675 0.150 0.000
C 0.000 0.500 0.000
C 0.325 0.850 0.000
C 0.150 0.675 0.500
C 0.500 0.000 0.500
C 0.850 0.325 0.500
Cd 0.414 0.104 0.249
Cd 0.931 0.069 0.250
Cd 0.896 0.586 0.251
Cd 0.104 0.414 0.749
Cd 0.069 0.931 0.750
Cd 0.586 0.896 0.751
Hf 0.692 0.850 0.076
Hf 0.015 0.203 0.076
Hf 0.797 0.985 0.424
Hf 0.150 0.308 0.424
Hf 0.850 0.692 0.576
Hf 0.203 0.015 0.576
Hf 0.985 0.797 0.924
Hf 0.308 0.150 0.924
Y 0.375 0.536 0.105
Y 0.464 0.625 0.395
Y 0.536 0.375 0.605
Y 0.625 0.464 0.895

This record from the Open Quantum Materials Database describes crystalline Hf4ZnCdC2 at its relaxed geometry. The functional is PBE-GGA.

M_tot: 0.00 Bohr magnetons per cell
total DFT energy (no corrections): -64.912 eV for the cell shown

Unit cell a=3.278 b=3.278 c=14.701 alpha=90.00 beta=90.00 gamma=120.00
Positions (direct):
C 0.667 0.333 0.257
C 0.667 0.333 0.743
Cd 0.000 0.000 0.000
Hf 0.333 0.667 0.173
Hf 0.000 0.000 0.343
Hf 0.000 0.000 0.657
Hf 0.333 0.667 0.827
Zn 0.333 0.667 0.500

This record from the Open Quantum Materials Database describes crystalline Hf4Zr2Cd3C3 at its relaxed geometry. The functional is PBE-GGA.

M_tot: 0.03 Bohr magnetons per cell
total DFT energy (no corrections): -187.945 eV for the cell shown

Unit cell a=5.727 b=5.727 c=15.562 alpha=100.62 beta=100.62 gamma=60.01
Positions (direct):
C 0.500 0.000 0.000
C 0.838 0.331 0.000
C 0.162 0.669 0.000
C 0.331 0.838 0.500
C 0.000 0.500 0.500
C 0.669 0.162 0.500
Cd 0.237 0.417 0.250
Cd 0.930 0.070 0.250
Cd 0.583 0.763 0.250
Cd 0.417 0.237 0.750
Cd 0.070 0.930 0.750
Cd 0.763 0.583 0.750
Hf 0.858 0.694 0.080
Hf 0.195 0.025 0.080
Hf 0.975 0.805 0.420
Hf 0.306 0.142 0.420
Hf 0.694 0.858 0.580
Hf 0.025 0.195 0.580
Hf 0.805 0.975 0.920
Hf 0.142 0.306 0.920
Zr 0.528 0.363 0.084
Zr 0.637 0.472 0.416
Zr 0.363 0.528 0.584
Zr 0.472 0.637 0.916

This record from the Open Quantum Materials Database describes crystalline HfZr3Cd2C2 at its relaxed geometry. The functional is PBE-GGA.

M_tot: 0.05 Bohr magnetons per cell
total DFT energy (no corrections): -60.171 eV for the cell shown

Unit cell a=3.327 b=3.327 c=15.312 alpha=90.00 beta=90.00 gamma=120.00
Positions (direct):
C 0.333 0.667 0.500
C 0.333 0.667 0.997
Cd 0.000 0.000 0.250
Cd 0.667 0.333 0.751
Hf 0.000 0.000 0.919
Zr 0.667 0.333 0.082
Zr 0.667 0.333 0.418
Zr 0.000 0.000 0.582

This record from the Open Quantum Materials Database describes crystalline Hf3ZrCd2C2 at its relaxed geometry. The functional is PBE-GGA.

M_tot: 0.01 Bohr magnetons per cell
total DFT energy (no corrections): -63.132 eV for the cell shown

Unit cell a=3.300 b=3.300 c=15.203 alpha=90.00 beta=90.00 gamma=120.00
Positions (direct):
C 0.000 0.000 0.500
C 0.000 0.000 0.997
Cd 0.667 0.333 0.252
Cd 0.333 0.667 0.750
Hf 0.333 0.667 0.419
Hf 0.667 0.333 0.582
Hf 0.667 0.333 0.918
Zr 0.333 0.667 0.082